A plane-wave DFT calculation with GGA-PBE was carried out for Li3YSc4S8 after structural relaxation.

```
Li3YSc4S8
1.0
3.710 2.142 6.179
-3.710 2.142 6.179
0.000 -4.284 6.179
Li Y Sc S
3 1 4 8
Cartesian
-1.855 -1.071 6.179 Li
-1.855 1.071 12.357 Li
0.000 2.142 6.179 Li
0.000 0.000 0.000 Y
-3.710 0.000 9.268 Sc
-1.855 1.071 3.089 Sc
1.855 1.071 3.089 Sc
0.000 0.000 9.268 Sc
0.000 0.000 4.567 S
-1.823 -1.052 10.764 S
0.000 -2.105 7.772 S
-1.823 1.052 7.772 S
1.823 -1.052 10.764 S
0.000 2.105 10.764 S
1.823 1.052 7.772 S
0.000 0.000 13.969 S
```

SG = R-3m
magnetization = 0.00 Bohr magnetons per cell
formation energy without anion corrections = -1.8322 eV per atom
DOS(E_F) = 4.4 states/eV per cell

***

A plane-wave DFT calculation with GGA-PBE was carried out for Li2YSc3S6 after structural relaxation.

```
Li2YSc3S6
1.0
3.216 -5.571 0.000
3.216 5.571 0.000
-2.146 0.000 6.200
Li Y Sc S
2 1 3 6
Cartesian
3.216 3.704 0.000 Li
3.216 -3.704 0.000 Li
3.216 0.000 0.000 Y
-1.073 0.000 3.100 Sc
2.142 1.855 3.100 Sc
2.142 -1.855 3.100 Sc
-0.023 1.894 4.604 S
1.030 0.000 1.602 S
-0.023 -1.894 4.604 S
4.308 1.894 1.595 S
3.255 0.000 4.598 S
4.308 -1.894 1.595 S
```

SG = C2/m
magnetization = 0.00 Bohr magnetons per cell
formation energy without anion corrections = -1.8489 eV per atom
DOS(E_F) = 3.1 states/eV per cell

***

A plane-wave DFT calculation with GGA-PBE was carried out for LiY2ScS4 after structural relaxation.

```
LiY2ScS4
1.0
6.552 0.000 0.000
0.000 3.824 0.000
-2.224 0.000 6.271
Li Y Sc S
1 2 1 4
Cartesian
0.000 0.000 0.000 Li
2.164 0.000 3.135 Y
3.276 1.912 0.000 Y
-1.112 1.912 3.135 Sc
-0.128 0.000 4.675 S
0.996 1.912 1.546 S
3.331 1.912 4.725 S
4.455 0.000 1.596 S
```

SG = P2/m
magnetization = 0.00 Bohr magnetons per cell
formation energy without anion corrections = -1.9017 eV per atom
DOS(E_F) = 2.8 states/eV per cell

***

A plane-wave DFT calculation with GGA-PBE was carried out for Li2YScS4 after structural relaxation.

```
Li2YScS4
1.0
6.519 0.000 0.000
0.000 3.809 0.000
-2.224 0.000 6.210
Li Y Sc S
2 1 1 4
Cartesian
0.000 0.000 0.000 Li
-1.112 1.905 3.105 Li
2.147 0.000 3.105 Y
3.259 1.905 0.000 Sc
1.107 1.905 1.480 S
-0.021 0.000 4.743 S
4.316 0.000 1.467 S
3.188 1.905 4.730 S
```

SG = P2/m
magnetization = 0.00 Bohr magnetons per cell
formation energy without anion corrections = -1.8001 eV per atom
DOS(E_F) = 0.0 states/eV per cell

***

A plane-wave DFT calculation with GGA-PBE was carried out for LiY3Sc3S8 after structural relaxation.

```
LiY3Sc3S8
1.0
3.771 2.177 6.201
-3.771 2.177 6.201
0.000 -4.354 6.201
Li Y Sc S
1 3 3 8
Cartesian
0.000 0.000 0.000 Li
-3.771 0.000 9.302 Y
-1.886 1.089 3.101 Y
1.886 1.089 3.101 Y
-1.886 -1.089 6.201 Sc
-1.886 1.089 12.403 Sc
0.000 2.177 6.201 Sc
0.000 -2.155 7.664 S
-1.866 1.077 7.664 S
0.000 0.000 4.750 S
-1.866 -1.077 10.940 S
1.866 1.077 7.664 S
0.000 0.000 13.855 S
1.866 -1.077 10.940 S
0.000 2.155 10.940 S
```

SG = R-3m
magnetization = 0.00 Bohr magnetons per cell
formation energy without anion corrections = -1.9271 eV per atom
DOS(E_F) = 4.4 states/eV per cell

***

A plane-wave DFT calculation with GGA-PBE was carried out for LiZr2ScS4 after structural relaxation.

```
LiZr2ScS4
1.0
6.264 0.000 0.000
0.000 3.616 0.000
-2.035 0.000 6.222
Li Zr Sc S
1 2 1 4
Cartesian
0.000 0.000 0.000 Li
-1.018 1.808 3.111 Zr
2.114 0.000 3.111 Zr
3.132 1.808 0.000 Sc
1.041 1.808 1.500 S
0.001 0.000 4.732 S
4.228 0.000 1.490 S
3.188 1.808 4.722 S
```

SG = P2/m
magnetization = 0.00 Bohr magnetons per cell
formation energy without anion corrections = -1.6010 eV per atom
DOS(E_F) = 3.4 states/eV per cell

***

A plane-wave DFT calculation with GGA-PBE was carried out for Li2ZrScS4 after structural relaxation.

```
Li2ZrScS4
1.0
6.352 0.000 0.000
0.000 3.646 0.000
-2.099 0.000 6.171
Li Zr Sc S
2 1 1 4
Cartesian
0.000 0.000 0.000 Li
3.176 1.823 0.000 Li
-1.050 1.823 3.085 Zr
2.126 0.000 3.085 Sc
0.022 0.000 4.618 S
1.068 1.823 1.573 S
3.184 1.823 4.598 S
4.230 0.000 1.553 S
```

SG = P2/m
magnetization = 0.00 Bohr magnetons per cell
formation energy without anion corrections = -1.6413 eV per atom
DOS(E_F) = 2.6 states/eV per cell

***

A plane-wave DFT calculation with GGA-PBE was carried out for Li2ZrSc2S6 after structural relaxation.

```
Li2ZrSc2S6
1.0
3.207 -5.532 0.000
3.207 5.532 0.000
-2.130 0.000 6.152
Li Zr Sc S
2 1 2 6
Cartesian
3.207 3.684 0.000 Li
3.207 -3.684 0.000 Li
-1.065 0.000 3.076 Zr
2.142 1.838 3.076 Sc
2.142 -1.838 3.076 Sc
-0.012 1.854 4.536 S
1.048 0.000 1.614 S
-0.012 -1.854 4.536 S
4.295 1.854 1.616 S
3.236 0.000 4.538 S
4.295 -1.854 1.616 S
```

SG = C2/m
magnetization = 0.00 Bohr magnetons per cell
formation energy without anion corrections = -1.6968 eV per atom

***

A plane-wave DFT calculation with GGA-PBE was carried out for Li3ZrSc3S8 after structural relaxation.

```
Li3ZrSc3S8
1.0
3.696 2.134 6.131
-3.696 2.134 6.131
0.000 -4.268 6.131
Li Zr Sc S
3 1 3 8
Cartesian
-1.848 -1.067 6.131 Li
-1.848 1.067 12.261 Li
0.000 2.134 6.131 Li
0.000 0.000 9.196 Zr
-3.696 0.000 9.196 Sc
-1.848 1.067 3.065 Sc
1.848 1.067 3.065 Sc
0.000 0.000 4.535 S
-1.841 -1.063 10.656 S
0.000 -2.125 7.735 S
-1.841 1.063 7.735 S
1.841 -1.063 10.656 S
0.000 2.125 10.656 S
1.841 1.063 7.736 S
0.000 0.000 13.857 S
```

SG = R-3m
magnetization = 0.00 Bohr magnetons per cell
formation energy without anion corrections = -1.7176 eV per atom

***

A plane-wave DFT calculation with GGA-PBE was carried out for Li4ZrSc3S8 after structural relaxation.

```
Li4ZrSc3S8
1.0
3.677 2.123 6.122
-3.677 2.123 6.122
0.000 -4.246 6.122
Li Zr Sc S
4 1 3 8
Cartesian
0.000 0.000 0.000 Li
-1.838 -1.061 6.122 Li
-1.838 1.061 12.244 Li
0.000 2.123 6.122 Li
0.000 0.000 9.183 Zr
-3.677 0.000 9.183 Sc
-1.838 1.061 3.061 Sc
1.838 1.061 3.061 Sc
0.000 0.000 4.542 S
-1.840 -1.062 10.681 S
0.000 -2.125 7.685 S
-1.840 1.062 7.685 S
1.840 -1.062 10.681 S
0.000 2.125 10.681 S
1.840 1.062 7.685 S
0.000 0.000 13.824 S
```

SG = R-3m
magnetization = 0.00 Bohr magnetons per cell
formation energy without anion corrections = -1.7040 eV per atom
DOS(E_F) = 3.8 states/eV per cell

***

A plane-wave DFT calculation with GGA-PBE was carried out for LiZrSc2S4 after structural relaxation.

```
LiZrSc2S4
1.0
6.317 0.000 0.000
0.000 3.663 0.000
-2.081 0.000 6.112
Li Zr Sc S
1 1 2 4
Cartesian
0.000 0.000 0.000 Li
-1.041 1.831 3.056 Zr
2.118 0.000 3.056 Sc
3.159 1.831 0.000 Sc
0.003 0.000 4.629 S
1.066 1.831 1.513 S
4.233 0.000 1.483 S
3.170 1.831 4.599 S
```

SG = P2/m
magnetization = 0.00 Bohr magnetons per cell
formation energy without anion corrections = -1.7146 eV per atom
DOS(E_F) = 3.9 states/eV per cell

***

A plane-wave DFT calculation with GGA-PBE was carried out for Li3ZrSc4S8 after structural relaxation.

```
Li3ZrSc4S8
1.0
3.690 2.130 5.994
-3.690 2.130 5.994
0.000 -4.261 5.994
Li Zr Sc S
3 1 4 8
Cartesian
-1.845 -1.065 5.994 Li
-1.845 1.065 11.987 Li
0.000 2.130 5.994 Li
0.000 0.000 0.000 Zr
-3.690 0.000 8.990 Sc
-1.845 1.065 2.997 Sc
1.845 1.065 2.997 Sc
0.000 0.000 8.990 Sc
0.000 0.000 4.461 S
0.000 -2.116 7.489 S
-1.833 1.058 7.489 S
-1.833 -1.058 10.492 S
1.833 1.058 7.489 S
1.833 -1.058 10.492 S
0.000 2.116 10.492 S
0.000 0.000 13.519 S
```

SG = R-3m
magnetization = 0.00 Bohr magnetons per cell
formation energy without anion corrections = -1.7550 eV per atom
DOS(E_F) = 5.7 states/eV per cell

***

A plane-wave DFT calculation with GGA-PBE was carried out for Li3ZrSc2S6 after structural relaxation.

```
Li3ZrSc2S6
1.0
3.179 -5.504 0.000
3.179 5.504 0.000
-2.120 0.000 6.140
Li Zr Sc S
3 1 2 6
Cartesian
0.000 0.000 0.000 Li
3.179 1.828 0.000 Li
3.179 -1.828 0.000 Li
2.118 0.000 3.070 Zr
2.118 3.668 3.070 Sc
2.118 -3.668 3.070 Sc
1.058 1.836 1.564 S
-0.002 0.000 4.575 S
1.058 -1.836 1.564 S
3.179 1.836 4.576 S
4.239 0.000 1.565 S
3.179 -1.836 4.576 S
```

SG = C2/m
magnetization = 0.00 Bohr magnetons per cell
formation energy without anion corrections = -1.6793 eV per atom
DOS(E_F) = 3.8 states/eV per cell

***

A plane-wave DFT calculation with GGA-PBE was carried out for LiSeS4 after structural relaxation.

```
LiSeS4
1.0
4.670 0.000 0.000
-2.044 4.991 0.000
-1.406 -1.075 13.875
Li Se S
2 2 8
Cartesian
-0.260 1.584 1.704 Li
1.481 2.333 12.170 Li
-1.051 3.328 3.661 Se
2.271 0.588 10.214 Se
-0.791 1.645 8.918 S
0.391 -0.741 12.286 S
0.656 0.256 8.662 S
-0.845 2.547 12.927 S
2.066 1.370 0.948 S
0.564 3.660 5.213 S
0.829 4.657 1.589 S
2.011 2.272 4.957 S
```

SG = P-1
magnetization = 0.00 Bohr magnetons per cell
formation energy without anion corrections = -0.2168 eV per atom

***

A plane-wave DFT calculation with GGA-PBE was carried out for Li2SeS6 after structural relaxation.

```
Li2SeS6
1.0
4.315 0.000 0.000
-1.694 6.535 0.000
-1.675 -2.451 7.486
Li Se S
2 1 6
Cartesian
0.000 0.000 0.000 Li
-0.642 4.578 3.953 Li
1.879 -0.535 1.870 Se
0.991 4.743 0.226 S
0.788 1.793 4.299 S
0.577 -0.510 7.001 S
1.710 0.275 5.289 S
2.299 3.261 1.051 S
1.458 3.641 4.955 S
```

SG = P1
magnetization = 0.00 Bohr magnetons per cell
formation energy without anion corrections = -0.2976 eV per atom

***

A plane-wave DFT calculation with GGA-PBE was carried out for LiSeS after structural relaxation.

```
LiSeS
1.0
4.157 0.000 0.000
-1.643 5.637 0.000
-1.145 -2.263 5.872
Li Se S
2 2 2
Cartesian
-0.766 0.445 2.161 Li
2.135 2.929 3.711 Li
-0.240 4.697 1.044 Se
1.609 -1.323 4.829 Se
0.064 2.897 2.212 S
1.305 0.477 3.660 S
```

SG = P-1
magnetization = 0.00 Bohr magnetons per cell
formation energy without anion corrections = -0.4860 eV per atom
DOS(E_F) = 1.3 states/eV per cell

***

A plane-wave DFT calculation with GGA-PBE was carried out for Li10Se4S after structural relaxation.

```
Li10Se4S
1.0
2.109 1.218 17.214
-2.109 1.218 17.214
0.000 -2.435 17.214
Li Se S
10 4 1
Cartesian
0.000 0.000 2.468 Li
0.000 0.000 7.745 Li
0.000 0.000 12.970 Li
0.000 0.000 17.989 Li
0.000 0.000 23.195 Li
0.000 0.000 28.447 Li
0.000 0.000 33.652 Li
0.000 0.000 38.672 Li
0.000 0.000 43.897 Li
0.000 0.000 49.174 Li
0.000 0.000 10.353 Se
0.000 0.000 20.585 Se
0.000 0.000 31.056 Se
0.000 0.000 41.289 Se
0.000 0.000 0.000 S
```

SG = R-3m
magnetization = 0.00 Bohr magnetons per cell
formation energy without anion corrections = -1.2719 eV per atom
DOS(E_F) = 0.0 states/eV per cell

***

A plane-wave DFT calculation with GGA-PBE was carried out for LiSe2S after structural relaxation.

```
LiSe2S
1.0
2.058 1.188 6.781
-2.058 1.188 6.781
0.000 -2.376 6.781
Li Se S
1 2 1
Cartesian
0.000 0.000 0.000 Li
0.000 0.000 7.904 Se
0.000 0.000 12.438 Se
0.000 0.000 10.171 S
```

SG = R-3m
magnetization = 0.00 Bohr magnetons per cell
formation energy without anion corrections = -0.0594 eV per atom
DOS(E_F) = 2.8 states/eV per cell

***

A plane-wave DFT calculation with GGA-PBE was carried out for LiSeS2 after structural relaxation.

```
LiSeS2
1.0
-2.655 2.655 6.604
2.655 -2.655 6.604
2.655 2.655 -6.604
Li Se S
2 2 4
Cartesian
0.000 0.000 0.000 Li
0.000 2.655 3.302 Li
2.655 0.000 3.302 Se
0.000 0.000 6.604 Se
1.327 -1.254 4.953 S
1.401 1.327 1.651 S
1.327 3.908 -1.651 S
1.254 1.327 8.255 S
```

SG = I-42d
magnetization = 0.00 Bohr magnetons per cell
formation energy without anion corrections = -0.1671 eV per atom
DOS(E_F) = 3.0 states/eV per cell

***

A plane-wave DFT calculation with GGA-PBE was carried out for LiSeS3 after structural relaxation.

```
LiSeS3
1.0
4.821 0.000 0.000
0.000 4.821 0.000
0.000 0.000 4.821
Li Se S
1 1 3
Cartesian
0.000 0.000 0.000 Li
2.410 2.410 2.410 Se
0.000 2.410 2.410 S
2.410 0.000 2.410 S
2.410 2.410 0.000 S
```

SG = Pm-3m
magnetization = 0.00 Bohr magnetons per cell
formation energy without anion corrections = 0.2623 eV per atom
DOS(E_F) = 3.7 states/eV per cell

***

A plane-wave DFT calculation with GGA-PBE was carried out for LiSe2S after structural relaxation.

```
LiSe2S
1.0
-2.724 2.724 6.785
2.724 -2.724 6.785
2.724 2.724 -6.785
Li Se S
2 4 2
Cartesian
0.000 0.000 0.000 Li
0.000 2.724 3.392 Li
1.362 -1.188 5.089 Se
1.536 1.362 1.696 Se
1.362 3.911 -1.696 Se
1.188 1.362 8.481 Se
2.724 0.000 3.392 S
0.000 0.000 6.785 S
```

SG = I-42d
magnetization = 0.00 Bohr magnetons per cell
formation energy without anion corrections = -0.0962 eV per atom
DOS(E_F) = 3.7 states/eV per cell

***

A plane-wave DFT calculation with GGA-PBE was carried out for LiSeS5 after structural relaxation.

```
LiSeS5
1.0
5.435 -5.148 0.000
5.435 5.148 0.000
-4.913 0.000 6.885
Li Se S
2 2 10
Cartesian
2.717 2.574 0.000 Li
0.261 -2.574 3.443 Li
4.207 3.283 1.721 Se
1.750 -3.283 5.164 Se
1.750 4.844 5.164 S
1.031 0.009 2.998 S
-1.425 -0.009 6.441 S
1.949 1.396 4.082 S
1.552 1.396 6.245 S
4.405 -1.396 0.640 S
4.008 -1.396 2.803 S
7.382 0.009 0.445 S
4.926 -0.009 3.887 S
4.207 -4.844 1.721 S
```

SG = C2/c
magnetization = 1.06 Bohr magnetons per cell
formation energy without anion corrections = -0.0037 eV per atom
DOS(E_F) = 8.4 states/eV per cell